# AcDySnPd

A relaxed structure of AcDySnPd (PBE-GGA, Alexandria).

Summary:
- DFT formation energy (eV per atom) = -0.63
- DOS(E_F) (states/eV per atom) = 0.536
- total moment (μB/f.u.) = 0.000
- mass density (Mg/m³) = 9.11
- space group = F-43m
- raw total energy (eV per atom) = -5.1061

a = 5.4114 Å, b = 5.4114 Å, c = 5.4114 Å
α = 60.00°, β = 60.00°, γ = 60.00°
Fractional positions:
Ac1 0.0000 0.0000 0.0000
Dy1 0.5000 0.5000 0.5000
Pd1 0.2500 0.2500 0.2500
Sn1 0.7500 0.7500 0.7500